[1]
Compound: RbNaC3
Source: the Alexandria database
Functional: PBE
Structure: optimized geometry

abc: 4.8987 4.8987 4.8987
angles: 90.00 90.00 90.00
With the nearest neighbours (Å) after each atom.
Space group Pm-3m (No. 221)
One atom of each set of equivalent atoms:
Rb 0.0000 0.0000 0.0000  12 C 3.46
Na 0.5000 0.5000 0.5000  6 C 2.45
C 0.0000 0.5000 0.5000  2 Na 2.45

Properties
Calculated volume (A^3/atom): 23.511
ΔH_f (0 K) (eV/atom): 3.385
Raw total energy (eV/cell): -13.03
Size of the total moment (μB/f.u.): 5.9
Theoretical density (Mg/m³): 2.04

=====

[2]
Compound: Er5In4Hg
Source: the Alexandria database
Functional: PBE
Structure: optimized geometry

abc: 3.7021 3.7021 18.8709
angles: 90.00 90.00 90.00
With the nearest neighbours (Å) after each atom.
Space group P4/mmm (No. 123)
One atom of each set of equivalent atoms:
Er 0.0000 0.0000 0.0000  8 In 3.23
Er 0.0000 0.0000 0.2015  8 In 3.24
Er 0.0000 0.0000 0.4039  4 Hg 3.18, 4 In 3.24
In 0.5000 0.5000 0.1005  8 Er 3.23-3.24
In 0.5000 0.5000 0.3028  8 Er 3.24
Hg 0.5000 0.5000 0.5000  8 Er 3.18

Properties
Calculated volume (A^3/atom): 25.864
ΔH_f (0 K) (eV/atom): -0.446
Raw total energy (eV/cell): -38.53
Size of the total moment (μB/f.u.): 0.0
Theoretical density (Mg/m³): 9.61

=====

[3]
Compound: Ca3ThPa2As6
Source: the Alexandria database
Functional: PBE
Structure: optimized geometry

abc: 7.2952 12.6353 7.2576
angles: 90.00 109.60 90.00
With the nearest neighbours (Å) after each atom.
Space group C2/m (No. 12)
One atom of each set of equivalent atoms:
Ca 0.0000 0.0000 0.0000  6 As 2.97-3.06
Ca 0.0000 0.3356 0.0000  6 As 2.99-3.06
Th 0.0000 0.5000 0.5000  6 As 2.98
Pa 0.0000 0.1670 0.5000  6 As 2.89
As 0.2359 0.0000 0.7366  2 Pa 2.89, 3 Ca 2.97-3.04, 1 Th 2.98
As 0.2496 0.1715 0.2639  2 Pa 2.89, 1 Th 2.98, 3 Ca 2.99-3.06

Properties
Calculated volume (A^3/atom): 26.260
ΔH_f (0 K) (eV/atom): -1.217
Raw total energy (eV/cell): -149.83
Size of the total moment (μB/f.u.): 0.7
Theoretical density (Mg/m³): 6.66

=====

- Among the records above, which one has the highest raw total energy?
  RbNaC3

=====

- Which formula does entry 2 have?
  Er5In4Hg